An optimized crystal structure of RbSi4Au4. Source: the Alexandria database, functional PBE.

Cell: 4.6730 9.9156 8.7737 Å, 90.00 90.71 90.00°
Closest atoms and distances in Å follow each position.
Element x y z (fractional)
Rb  0.0014  0.2500  0.2501  8 Au 3.53-3.69, 4 Si 3.92
Rb  0.9986  0.7500  0.7499  8 Au 3.53-3.69, 4 Si 3.92
Si  0.2463  0.1259  0.8486  1 Si 2.46, 4 Au 2.52-2.63
Si  0.2463  0.3741  0.8486  1 Si 2.46, 4 Au 2.52-2.63
Si  0.2463  0.6259  0.3486  1 Si 2.46, 4 Au 2.52-2.63
Si  0.2463  0.8741  0.3486  1 Si 2.46, 4 Au 2.52-2.63
Si  0.7537  0.1259  0.6514  1 Si 2.46, 4 Au 2.52-2.63
Si  0.7537  0.3741  0.6514  1 Si 2.46, 4 Au 2.52-2.63
Si  0.7537  0.6259  0.1514  1 Si 2.46, 4 Au 2.52-2.63
Si  0.7537  0.8741  0.1514  1 Si 2.46, 4 Au 2.52-2.63
Au  0.2539  0.0467  0.5762  4 Si 2.52-2.63
Au  0.2539  0.4533  0.5762  4 Si 2.52-2.63
Au  0.2539  0.5468  0.0762  4 Si 2.52-2.63
Au  0.2539  0.9532  0.0762  4 Si 2.52-2.63
Au  0.7461  0.0468  0.9238  4 Si 2.52-2.63
Au  0.7461  0.4532  0.9238  4 Si 2.52-2.63
Au  0.7461  0.5467  0.4238  4 Si 2.52-2.63
Au  0.7461  0.9533  0.4238  4 Si 2.52-2.63

Summary:
uncorrected formation energy = -0.1406 eV/atom
crystal system = monoclinic
VASP energy = -74.069 eV for the cell shown
calculated volume = 22.58 Å³ per atom

---

An optimized crystal structure of RbSiAu2. Source: the Alexandria database, functional PBE.

Cell: 6.7957 6.7957 6.7957 Å, 38.78 38.78 38.78°
Closest atoms and distances in Å follow each position.
Element x y z (fractional)
Rb  0.0000  0.0000  0.0000  8 Au 3.61-3.73
Si  0.5000  0.5000  0.5000  6 Au 2.65
Au  0.1916  0.1916  0.1916  3 Si 2.65, 3 Au 2.77
Au  0.8084  0.8084  0.8084  3 Si 2.65, 3 Au 2.77

Summary:
uncorrected formation energy = -0.1305 eV/atom
crystal system = trigonal
VASP energy = -13.467 eV for the cell shown
calculated volume = 27.66 Å³ per atom

---

An optimized crystal structure of RbSiAu2. Source: the Alexandria database, functional PBE.

Cell: 8.3114 4.6006 11.6134 Å, 90.00 90.00 90.00°
Closest atoms and distances in Å follow each position.
Element x y z (fractional)
Rb  0.1444  0.2500  0.1125  7 Au 3.45-3.85, 3 Si 3.68-3.75
Rb  0.3556  0.7500  0.6125  7 Au 3.45-3.85, 3 Si 3.68-3.75
Rb  0.6444  0.2500  0.3875  7 Au 3.45-3.85, 3 Si 3.68-3.75
Rb  0.8556  0.7500  0.8875  7 Au 3.45-3.85, 3 Si 3.68-3.75
Si  0.0811  0.7500  0.3557  5 Au 2.45-2.65
Si  0.4189  0.2500  0.8557  5 Au 2.45-2.65
Si  0.5811  0.7500  0.1443  5 Au 2.45-2.65
Si  0.9189  0.2500  0.6443  5 Au 2.45-2.65
Au  0.0532  0.2500  0.4373  3 Si 2.50-2.65
Au  0.1437  0.2500  0.7811  2 Si 2.45
Au  0.3563  0.7500  0.2811  2 Si 2.45
Au  0.4468  0.7500  0.9373  3 Si 2.50-2.65
Au  0.5532  0.2500  0.0627  3 Si 2.50-2.65
Au  0.6437  0.2500  0.7189  2 Si 2.45
Au  0.8563  0.7500  0.2189  2 Si 2.45
Au  0.9468  0.7500  0.5627  3 Si 2.50-2.65

Summary:
uncorrected formation energy = -0.2893 eV/atom
crystal system = orthorhombic
VASP energy = -56.410 eV for the cell shown
calculated volume = 27.75 Å³ per atom

---

Copy entry 2 word for word.
An optimized crystal structure of RbSiAu2. Source: the Alexandria database, functional PBE.

Cell: 6.7957 6.7957 6.7957 Å, 38.78 38.78 38.78°
Closest atoms and distances in Å follow each position.
Element x y z (fractional)
Rb  0.0000  0.0000  0.0000  8 Au 3.61-3.73
Si  0.5000  0.5000  0.5000  6 Au 2.65
Au  0.1916  0.1916  0.1916  3 Si 2.65, 3 Au 2.77
Au  0.8084  0.8084  0.8084  3 Si 2.65, 3 Au 2.77

Summary:
uncorrected formation energy = -0.1305 eV/atom
crystal system = trigonal
VASP energy = -13.467 eV for the cell shown
calculated volume = 27.66 Å³ per atom

---

Repeat the third record exactly.
An optimized crystal structure of RbSiAu2. Source: the Alexandria database, functional PBE.

Cell: 8.3114 4.6006 11.6134 Å, 90.00 90.00 90.00°
Closest atoms and distances in Å follow each position.
Element x y z (fractional)
Rb  0.1444  0.2500  0.1125  7 Au 3.45-3.85, 3 Si 3.68-3.75
Rb  0.3556  0.7500  0.6125  7 Au 3.45-3.85, 3 Si 3.68-3.75
Rb  0.6444  0.2500  0.3875  7 Au 3.45-3.85, 3 Si 3.68-3.75
Rb  0.8556  0.7500  0.8875  7 Au 3.45-3.85, 3 Si 3.68-3.75
Si  0.0811  0.7500  0.3557  5 Au 2.45-2.65
Si  0.4189  0.2500  0.8557  5 Au 2.45-2.65
Si  0.5811  0.7500  0.1443  5 Au 2.45-2.65
Si  0.9189  0.2500  0.6443  5 Au 2.45-2.65
Au  0.0532  0.2500  0.4373  3 Si 2.50-2.65
Au  0.1437  0.2500  0.7811  2 Si 2.45
Au  0.3563  0.7500  0.2811  2 Si 2.45
Au  0.4468  0.7500  0.9373  3 Si 2.50-2.65
Au  0.5532  0.2500  0.0627  3 Si 2.50-2.65
Au  0.6437  0.2500  0.7189  2 Si 2.45
Au  0.8563  0.7500  0.2189  2 Si 2.45
Au  0.9468  0.7500  0.5627  3 Si 2.50-2.65

Summary:
uncorrected formation energy = -0.2893 eV/atom
crystal system = orthorhombic
VASP energy = -56.410 eV for the cell shown
calculated volume = 27.75 Å³ per atom

---

What did the first record say?
An optimized crystal structure of RbSi4Au4. Source: the Alexandria database, functional PBE.

Cell: 4.6730 9.9156 8.7737 Å, 90.00 90.71 90.00°
Closest atoms and distances in Å follow each position.
Element x y z (fractional)
Rb  0.0014  0.2500  0.2501  8 Au 3.53-3.69, 4 Si 3.92
Rb  0.9986  0.7500  0.7499  8 Au 3.53-3.69, 4 Si 3.92
Si  0.2463  0.1259  0.8486  1 Si 2.46, 4 Au 2.52-2.63
Si  0.2463  0.3741  0.8486  1 Si 2.46, 4 Au 2.52-2.63
Si  0.2463  0.6259  0.3486  1 Si 2.46, 4 Au 2.52-2.63
Si  0.2463  0.8741  0.3486  1 Si 2.46, 4 Au 2.52-2.63
Si  0.7537  0.1259  0.6514  1 Si 2.46, 4 Au 2.52-2.63
Si  0.7537  0.3741  0.6514  1 Si 2.46, 4 Au 2.52-2.63
Si  0.7537  0.6259  0.1514  1 Si 2.46, 4 Au 2.52-2.63
Si  0.7537  0.8741  0.1514  1 Si 2.46, 4 Au 2.52-2.63
Au  0.2539  0.0467  0.5762  4 Si 2.52-2.63
Au  0.2539  0.4533  0.5762  4 Si 2.52-2.63
Au  0.2539  0.5468  0.0762  4 Si 2.52-2.63
Au  0.2539  0.9532  0.0762  4 Si 2.52-2.63
Au  0.7461  0.0468  0.9238  4 Si 2.52-2.63
Au  0.7461  0.4532  0.9238  4 Si 2.52-2.63
Au  0.7461  0.5467  0.4238  4 Si 2.52-2.63
Au  0.7461  0.9533  0.4238  4 Si 2.52-2.63

Summary:
uncorrected formation energy = -0.1406 eV/atom
crystal system = monoclinic
VASP energy = -74.069 eV for the cell shown
calculated volume = 22.58 Å³ per atom